[1]
Compound: ScTcNiSn
Source: OQMD
Functional: PBE-GGA
Structure: optimized geometry

Computed properties:
energy above the most stable polymorph in this dataset = 0 meV per atom
crystal system = cubic
symmetry = F-43m
total magnetization = 0.0 μB/f.u.

abc: 4.510 4.510 4.510
angles: 60.00 60.00 60.00
Fractional positions:
Sn 0.000 0.000 0.000
Ni 0.750 0.750 0.750
Sc 0.500 0.500 0.500
Tc 0.250 0.250 0.250

=====

[2]
Compound: TmScNi2Sn2
Source: OQMD
Functional: PBE-GGA
Structure: optimized geometry

Computed properties:
energy = -5.62 eV/atom
crystal system = trigonal
symmetry = P3m1
total magnetization = 0.0 μB/f.u.

abc: 4.422 4.422 6.839
angles: 90.00 90.00 120.00
Fractional positions:
Ni 0.667 0.333 0.559
Sc 0.000 0.000 0.735
Sn 0.333 0.667 0.486
Sn 0.667 0.333 0.957
Ni 0.333 0.667 0.028
Tm 0.000 0.000 0.234

=====

[3]
Compound: YScNiSn
Source: OQMD
Functional: PBE-GGA
Structure: optimized geometry

Computed properties:
energy = -5.75 eV/atom
crystal system = cubic
symmetry = F-43m
total magnetization = 1.7 μB/f.u.

abc: 4.879 4.879 4.879
angles: 60.00 60.00 60.00
Fractional positions:
Y 0.500 0.500 0.500
Sn 0.000 0.000 0.000
Ni 0.750 0.750 0.750
Sc 0.250 0.250 0.250

=====

[4]
Compound: SrScNi2
Source: OQMD
Functional: PBE-GGA
Structure: optimized geometry

Computed properties:
energy = -4.47 eV/atom
crystal system = cubic
symmetry = F-43m
total magnetization = 0.0 μB/f.u.

abc: 4.664 4.664 4.664
angles: 60.00 60.00 60.00
Fractional positions:
Ni 0.750 0.750 0.750
Sc 0.250 0.250 0.250
Sr 0.500 0.500 0.500
Ni 0.000 0.000 0.000